Here is an optimized crystal structure of Tm10Tl3Te3 from Alexandria. Energies are from PBE-GGA.

Formation energy from raw total energies (eV per atom): -0.612
Size of the total moment (μB/cell): 0.001
Total DFT energy (no corrections) (eV for the cell shown): -71.034

Cell lengths 8.8821, 8.8821, 6.3417 Å; angles 90.00, 90.00, 120.00 degrees
Positions (direct):
Tm1 0.0000 0.2416 0.0000
Tm2 0.0000 0.7635 0.5000
Tm3 0.2365 0.2365 0.5000
Tm4 0.2416 0.0000 0.0000
Tm5 0.3333 0.6667 0.2512
Tm6 0.3333 0.6667 0.7488
Tm7 0.6667 0.3333 0.2512
Tm8 0.6667 0.3333 0.7488
Tm9 0.7584 0.7584 0.0000
Tm10 0.7635 0.0000 0.5000
Tl1 0.0000 0.3921 0.5000
Tl2 0.3921 0.0000 0.5000
Tl3 0.6079 0.6079 0.5000
Te1 0.0000 0.6117 0.0000
Te2 0.3883 0.3883 0.0000
Te3 0.6117 0.0000 0.0000

---

Here is an optimized crystal structure of Tb5Pm2PrTm from Alexandria. Energies are from PBE-GGA.

Size of the total moment (μB/cell): 0.000
Total DFT energy (no corrections) (eV for the cell shown): -78.912

Cell lengths 9.9068, 9.9068, 9.9068 Å; angles 127.27, 127.27, 77.81 degrees
Positions (direct):
Tb1 0.0000 0.0000 0.0000
Tb2 0.0723 0.5723 0.9183
Tb3 0.1540 0.0723 0.5000
Tb4 0.3460 0.8460 0.9183
Tb5 0.4277 0.3460 0.5000
Tb6 0.5000 0.5000 0.0000
Tb7 0.5723 0.6540 0.5000
Tb8 0.6540 0.1540 0.0817
Tb9 0.8460 0.9277 0.5000
Tb10 0.9277 0.4277 0.0817
Pm1 0.1161 0.3839 0.5000
Pm2 0.3839 0.8839 0.2678
Pm3 0.6161 0.1161 0.7322
Pm4 0.8839 0.6161 0.5000
Pr1 0.2500 0.2500 0.0000
Pr2 0.7500 0.7500 0.0000
Tm1 0.2500 0.7500 0.5000
Tm2 0.7500 0.2500 0.5000

---

Here is an optimized crystal structure of LaPd4Se2 from Alexandria. Energies are from PBE-GGA.

Formation energy from raw total energies (eV per atom): -0.758
Size of the total moment (μB/cell): 0.000
Total DFT energy (no corrections) (eV for the cell shown): -75.951

Cell lengths 7.8416, 7.8416, 4.2370 Å; angles 90.00, 90.00, 90.00 degrees
Positions (direct):
La1 0.0000 0.0000 0.0000
La2 0.5000 0.5000 0.5000
Pd1 0.0962 0.3468 0.5000
Pd2 0.1532 0.5962 0.0000
Pd3 0.3468 0.0962 0.5000
Pd4 0.4038 0.8468 0.0000
Pd5 0.5962 0.1532 0.0000
Pd6 0.6532 0.9038 0.5000
Pd7 0.8468 0.4038 0.0000
Pd8 0.9038 0.6532 0.5000
Se1 0.2171 0.7829 0.5000
Se2 0.2829 0.2829 0.0000
Se3 0.7171 0.7171 0.0000
Se4 0.7829 0.2171 0.5000